Record 1
The following is a DFT calculation (SCAN) of Sr2V2OF10 at its PBEsol-relaxed geometry.

Structure (POSCAR):
```
Sr2V2OF10
1.0
3.841 -9.884 0.000
3.841 9.884 0.000
0.000 0.000 10.660
Sr V O F
8 8 4 40
direct
0.032 0.468 0.750
0.119 0.881 0.957
0.381 0.619 0.457
0.468 0.032 0.250
0.532 0.968 0.750
0.619 0.381 0.543
0.881 0.119 0.043
0.968 0.532 0.250
0.172 0.828 0.568
0.219 0.281 0.750
0.281 0.219 0.250
0.328 0.672 0.068
0.672 0.328 0.932
0.719 0.781 0.750
0.781 0.719 0.250
0.828 0.172 0.432
0.093 0.907 0.553
0.407 0.593 0.053
0.593 0.407 0.947
0.907 0.093 0.447
0.033 0.967 0.291
0.049 0.430 0.421
0.070 0.451 0.079
0.101 0.307 0.863
0.161 0.224 0.130
0.180 0.820 0.747
0.193 0.399 0.637
0.200 0.800 0.397
0.217 0.783 0.107
0.224 0.161 0.870
0.276 0.339 0.370
0.283 0.717 0.607
0.300 0.700 0.897
0.307 0.101 0.137
0.320 0.680 0.247
0.339 0.276 0.630
0.399 0.193 0.363
0.430 0.049 0.579
0.451 0.070 0.921
0.467 0.533 0.791
0.533 0.467 0.209
0.549 0.930 0.079
0.570 0.951 0.421
0.601 0.807 0.637
0.661 0.724 0.370
0.680 0.320 0.753
0.693 0.899 0.863
0.700 0.300 0.103
0.717 0.283 0.393
0.724 0.661 0.630
0.776 0.839 0.130
0.783 0.217 0.893
0.800 0.200 0.603
0.807 0.601 0.363
0.820 0.180 0.253
0.839 0.776 0.870
0.899 0.693 0.137
0.930 0.549 0.921
0.951 0.570 0.579
0.967 0.033 0.709
```

D(E_F): 0.3518 states/eV per atom
M_tot: 0.13 μB/atom
uncorrected energy: -695.9 eV for the cell shown
space group: No. 64
raw formation energy: -52.82 eV per formula unit

Record 2
The following is a DFT calculation (SCAN) of Tc2MoAs at its PBEsol-relaxed geometry.

Structure (POSCAR):
```
Tc2MoAs
1.0
4.303 -1.423 0.000
4.303 1.423 0.000
-0.338 0.000 4.750
Tc Mo As
2 1 1
direct
0.249 0.249 0.256
0.751 0.751 0.744
0.500 0.500 0.000
0.000 0.000 0.500
```

D(E_F): 0.7367 states/eV per atom
M_tot: 0.00 μB/atom
uncorrected energy: -124.7 eV for the cell shown
ΔH_f (0 K): 0.52 eV/f.u.
space group: No. 12

Record 3
The following is a DFT calculation (SCAN) of TiPPt3 at its PBEsol-relaxed geometry.

Structure (POSCAR):
```
TiPPt3
1.0
4.599 0.000 0.000
0.000 4.599 0.000
0.000 0.000 4.599
Ti P Pt
1 1 3
direct
0.000 0.000 0.000
0.500 0.500 0.500
0.000 0.000 0.500
0.000 0.500 0.000
0.500 0.000 0.000
```

D(E_F): 0.5902 states/eV per atom
M_tot: 0.00 μB/atom
polymorph energy (0 for the lowest one): 1.088 eV per atom
uncorrected energy: -232.0 eV for the cell shown
ΔH_f (0 K): 5.04 eV/f.u.
space group: No. 221

Record 4
The following is a DFT calculation (SCAN) of KMo2Au at its PBEsol-relaxed geometry.

Structure (POSCAR):
```
KMo2Au
1.0
2.753 0.000 0.000
0.000 4.706 0.000
-1.009 0.000 7.078
K Mo Au
1 2 1
direct
0.000 0.000 0.000
0.151 0.500 0.647
0.849 0.500 0.353
0.500 0.000 0.500
```

D(E_F): 0.5302 states/eV per atom
M_tot: 0.00 μB/atom
polymorph energy (0 for the lowest one): 0.151 eV per atom
uncorrected energy: -144.1 eV for the cell shown
ΔH_f (0 K): 3.14 eV/f.u.
space group: No. 10

Record 5
The following is a DFT calculation (SCAN) of Li9Cu2H4O8 at its PBEsol-relaxed geometry.

Structure (POSCAR):
```
Li9Cu2H4O8
1.0
7.259 0.000 0.000
0.000 5.376 0.000
0.000 0.000 10.765
Li Cu H O
18 4 8 16
direct
0.000 0.165 0.000
0.000 0.202 0.490
0.000 0.311 0.266
0.000 0.686 0.431
0.000 0.825 0.663
0.247 0.941 0.874
0.250 0.459 0.056
0.250 0.541 0.556
0.253 0.059 0.374
0.500 0.175 0.163
0.500 0.314 0.931
0.500 0.689 0.766
0.500 0.798 0.990
0.500 0.835 0.500
0.747 0.059 0.374
0.750 0.459 0.056
0.750 0.541 0.556
0.753 0.941 0.874
0.000 0.275 0.735
0.000 0.744 0.194
0.500 0.256 0.694
0.500 0.725 0.235
0.201 0.520 0.843
0.229 0.977 0.108
0.271 0.023 0.608
0.299 0.480 0.343
0.701 0.480 0.343
0.729 0.023 0.608
0.771 0.977 0.108
0.799 0.520 0.843
0.000 0.013 0.832
0.000 0.470 0.103
0.000 0.490 0.613
0.000 0.972 0.311
0.190 0.420 0.388
0.212 0.922 0.542
0.288 0.078 0.042
0.310 0.580 0.888
0.500 0.028 0.811
0.500 0.510 0.113
0.500 0.530 0.603
0.500 0.987 0.332
0.690 0.580 0.888
0.712 0.078 0.042
0.788 0.922 0.542
0.810 0.420 0.388
```

D(E_F): 0.3113 states/eV per atom
M_tot: 0.04 μB/atom
uncorrected energy: -303.1 eV for the cell shown
space group: No. 31

Record 6
The following is a DFT calculation (SCAN) of FeBIr3 at its PBEsol-relaxed geometry.

Structure (POSCAR):
```
FeBIr3
1.0
4.355 0.000 0.000
0.000 4.355 0.000
0.000 0.000 4.355
Fe B Ir
1 1 3
direct
0.000 0.000 0.000
0.500 0.500 0.500
0.000 0.000 0.500
0.000 0.500 0.000
0.500 0.000 0.000
```

D(E_F): 1.1466 states/eV per atom
M_tot: 0.00 μB/atom
polymorph energy (0 for the lowest one): 2.390 eV per atom
uncorrected energy: -226.5 eV for the cell shown
ΔH_f (0 K): 12.31 eV/f.u.
space group: No. 221

Record 7
The following is a DFT calculation (SCAN) of NiHg2P at its PBEsol-relaxed geometry.

Structure (POSCAR):
```
NiHg2P
1.0
2.858 0.000 0.000
0.000 2.858 0.000
0.000 0.000 8.851
Ni Hg P
1 2 1
direct
0.000 0.000 0.000
0.000 0.000 0.440
0.500 0.500 0.758
0.500 0.500 0.122
```

D(E_F): 0.5558 states/eV per atom
M_tot: 0.00 μB/atom
uncorrected energy: -162.6 eV for the cell shown
ΔH_f (0 K): 0.32 eV/f.u.
space group: No. 99

Record 8
The following is a DFT calculation (SCAN) of AgMoSe at its PBEsol-relaxed geometry.

Structure (POSCAR):
```
AgMoSe
1.0
3.027 0.000 0.000
-1.513 2.621 0.000
0.000 0.000 6.708
Ag Mo Se
1 1 1
direct
0.000 0.000 0.000
0.667 0.333 0.656
0.333 0.667 0.398
```

D(E_F): 0.3342 states/eV per atom
M_tot: 0.00 μB/atom
polymorph energy (0 for the lowest one): 0.000 eV per atom
uncorrected energy: -86.0 eV for the cell shown
space group: No. 156
raw formation energy: 0.38 eV per formula unit

Record 9
The following is a DFT calculation (SCAN) of Zn2AsP at its PBEsol-relaxed geometry.

Structure (POSCAR):
```
Zn2AsP
1.0
3.635 0.000 0.000
0.000 3.669 0.000
0.000 0.000 4.865
Zn As P
2 1 1
direct
0.000 0.000 0.000
0.500 0.000 0.500
0.000 0.500 0.500
0.500 0.500 0.000
```

D(E_F): 0.3824 states/eV per atom
M_tot: 0.00 μB/atom
polymorph energy (0 for the lowest one): 0.000 eV per atom
uncorrected energy: -56.2 eV for the cell shown
ΔH_f (0 K): 1.38 eV/f.u.
space group: No. 47

Record 10
The following is a DFT calculation (SCAN) of Y4TlTc at its PBEsol-relaxed geometry.

Structure (POSCAR):
```
Y4TlTc
1.0
0.000 4.208 4.208
4.208 0.000 4.208
4.208 4.208 0.000
Y Tl Tc
4 1 1
direct
0.376 0.376 0.376
0.376 0.376 0.871
0.376 0.871 0.376
0.871 0.376 0.376
0.000 0.000 0.000
0.750 0.750 0.750
```

D(E_F): 0.5972 states/eV per atom
M_tot: 0.29 μB/atom
uncorrected energy: -214.8 eV for the cell shown
ΔH_f (0 K): 3.97 eV/f.u.
space group: No. 216

Record 11
The following is a DFT calculation (SCAN) of BeTcNi6 at its PBEsol-relaxed geometry.

Structure (POSCAR):
```
BeTcNi6
1.0
3.448 -4.921 0.000
3.448 4.921 0.000
0.000 0.000 9.854
Be Tc Ni
4 4 24
direct
0.000 0.000 0.240
0.000 0.000 0.760
0.257 0.743 0.000
0.743 0.257 0.000
0.253 0.747 0.500
0.500 0.500 0.241
0.500 0.500 0.759
0.747 0.253 0.500
0.000 0.000 0.000
0.000 0.000 0.500
0.120 0.371 0.122
0.120 0.371 0.878
0.121 0.369 0.371
0.121 0.369 0.629
0.250 0.750 0.246
0.250 0.750 0.754
0.369 0.121 0.371
0.369 0.121 0.629
0.371 0.120 0.122
0.371 0.120 0.878
0.500 0.500 0.000
0.500 0.500 0.500
0.629 0.880 0.122
0.629 0.880 0.878
0.631 0.879 0.371
0.631 0.879 0.629
0.750 0.250 0.246
0.750 0.250 0.754
0.879 0.631 0.371
0.879 0.631 0.629
0.880 0.629 0.122
0.880 0.629 0.878
```

D(E_F): 0.9059 states/eV per atom
M_tot: 0.40 μB/atom
uncorrected energy: -547.3 eV for the cell shown
ΔH_f (0 K): -0.36 eV/f.u.
space group: No. 65

Record 12
The following is a DFT calculation (SCAN) of InSbPt2 at its PBEsol-relaxed geometry.

Structure (POSCAR):
```
InSbPt2
1.0
1.978 1.142 6.417
-1.978 1.142 6.417
0.000 -2.284 6.417
In Sb Pt
1 1 2
direct
0.000 0.000 0.000
0.209 0.209 0.209
0.475 0.475 0.475
0.739 0.739 0.739
```

D(E_F): 0.4451 states/eV per atom
M_tot: 0.00 μB/atom
uncorrected energy: -212.0 eV for the cell shown
space group: No. 160
raw formation energy: -0.97 eV per formula unit

Record 13
The following is a DFT calculation (SCAN) of LiAlRu2 at its PBEsol-relaxed geometry.

Structure (POSCAR):
```
LiAlRu2
1.0
2.835 0.000 0.000
0.000 4.183 0.000
0.000 0.000 4.430
Li Al Ru
1 1 2
direct
0.000 0.000 0.000
0.500 0.000 0.500
0.000 0.500 0.500
0.500 0.500 0.000
```

D(E_F): 0.5699 states/eV per atom
M_tot: 0.29 μB/atom
uncorrected energy: -80.4 eV for the cell shown
ΔH_f (0 K): -0.64 eV/f.u.
space group: No. 47

Record 14
The following is a DFT calculation (SCAN) of AlIn2IrRh at its PBEsol-relaxed geometry.

Structure (POSCAR):
```
AlIn2IrRh
1.0
5.053 0.000 0.000
0.000 5.053 0.000
0.000 0.000 4.739
Al In Ir Rh
1 2 1 1
direct
0.000 0.000 0.000
0.000 0.500 0.500
0.500 0.000 0.500
0.500 0.500 0.500
0.500 0.500 0.000
```

D(E_F): 0.6375 states/eV per atom
M_tot: 0.00 μB/atom
uncorrected energy: -176.1 eV for the cell shown
ΔH_f (0 K): 3.28 eV/f.u.
space group: No. 123

Record 15
The following is a DFT calculation (SCAN) of Sr12Sn4N3 at its PBEsol-relaxed geometry.

Structure (POSCAR):
```
Sr12Sn4N3
1.0
5.197 0.000 0.000
0.000 5.197 0.000
0.000 0.000 20.868
Sr Sn N
12 4 3
direct
0.000 0.000 0.123
0.000 0.000 0.364
0.000 0.000 0.636
0.000 0.000 0.877
0.000 0.500 0.000
0.000 0.500 0.246
0.000 0.500 0.500
0.000 0.500 0.754
0.500 0.000 0.000
0.500 0.000 0.246
0.500 0.000 0.500
0.500 0.000 0.754
0.500 0.500 0.125
0.500 0.500 0.383
0.500 0.500 0.617
0.500 0.500 0.875
0.000 0.000 0.000
0.000 0.000 0.251
0.000 0.000 0.749
```

D(E_F): 0.5470 states/eV per atom
M_tot: 0.11 μB/atom
uncorrected energy: -452.9 eV for the cell shown
space group: No. 123
raw formation energy: -14.02 eV per formula unit

Record 16
The following is a DFT calculation (SCAN) of Tl2ZnSe at its PBEsol-relaxed geometry.

Structure (POSCAR):
```
Tl2ZnSe
1.0
-2.613 2.625 3.699
2.613 -2.625 3.699
2.613 2.625 -3.699
Tl Zn Se
2 1 1
direct
0.250 0.250 0.000
0.750 0.750 0.000
0.500 0.000 0.500
0.000 0.500 0.500
```

D(E_F): 0.1546 states/eV per atom
M_tot: 0.00 μB/atom
uncorrected energy: -178.3 eV for the cell shown
space group: No. 71
raw formation energy: 0.00 eV per formula unit

Record 17
The following is a DFT calculation (SCAN) of Zn2CrSbO6 at its PBEsol-relaxed geometry.

Structure (POSCAR):
```
Zn2CrSbO6
1.0
5.161 0.000 0.000
0.000 7.597 0.000
-0.017 0.000 5.214
Zn Cr Sb O
4 2 2 12
direct
0.013 0.250 0.055
0.481 0.750 0.479
0.519 0.250 0.521
0.987 0.750 0.945
0.000 0.000 0.500
0.000 0.500 0.500
0.500 0.000 0.000
0.500 0.500 0.000
0.111 0.750 0.576
0.176 0.067 0.821
0.176 0.433 0.821
0.325 0.067 0.322
0.325 0.433 0.322
0.369 0.750 0.079
0.631 0.250 0.921
0.675 0.567 0.678
0.675 0.933 0.678
0.824 0.567 0.179
0.824 0.933 0.179
0.889 0.250 0.424
```

M_tot: 0.30 μB/atom
uncorrected energy: -275.7 eV for the cell shown
space group: No. 11
raw formation energy: -17.81 eV per formula unit

Record 18
The following is a DFT calculation (SCAN) of InP2Cl at its PBEsol-relaxed geometry.

Structure (POSCAR):
```
InP2Cl
1.0
4.428 0.000 0.000
0.000 3.978 0.000
-1.934 0.000 5.030
In P Cl
1 2 1
direct
0.000 0.000 0.000
0.418 0.500 0.157
0.582 0.500 0.843
0.000 0.000 0.500
```

D(E_F): 0.2782 states/eV per atom
M_tot: 0.00 μB/atom
polymorph energy (0 for the lowest one): 0.116 eV per atom
uncorrected energy: -62.9 eV for the cell shown
space group: No. 10
raw formation energy: -0.70 eV per formula unit

Record 19
The following is a DFT calculation (SCAN) of ScOs2Au at its PBEsol-relaxed geometry.

Structure (POSCAR):
```
ScOs2Au
1.0
2.766 -3.845 0.000
2.766 3.845 0.000
0.000 0.000 2.919
Sc Os Au
1 2 1
direct
0.000 0.000 0.000
0.000 0.500 0.500
0.500 0.000 0.500
0.500 0.500 0.000
```

D(E_F): 0.7737 states/eV per atom
M_tot: 0.00 μB/atom
polymorph energy (0 for the lowest one): 0.000 eV per atom
uncorrected energy: -226.7 eV for the cell shown
ΔH_f (0 K): 0.49 eV/f.u.
space group: No. 65

Record 20
The following is a DFT calculation (SCAN) of SrLiBeIn2 at its PBEsol-relaxed geometry.

Structure (POSCAR):
```
SrLiBeIn2
1.0
6.104 0.000 0.000
0.000 6.104 0.000
0.000 0.000 5.382
Sr Li Be In
1 1 1 2
direct
0.000 0.000 0.000
0.500 0.500 0.500
0.000 0.000 0.500
0.000 0.500 0.000
0.500 0.000 0.000
```

D(E_F): 0.7917 states/eV per atom
M_tot: 0.00 μB/atom
uncorrected energy: -90.5 eV for the cell shown
ΔH_f (0 K): 5.30 eV/f.u.
space group: No. 123